Entry 1:
Material: ZnCr2Br
Method: DFT, PBEsol
State: optimized geometry

It has space group F-43m (No. 216), with a = 6.3458 Å, b = 6.3458 Å, c = 6.3458 Å, α = 90.00°, β = 90.00° and γ = 90.00°. Symmetry generates all atoms from Zn at (0.0000, 0.0000, 0.0000), Cr at (0.0000, 0.0000, 0.5000), Cr at (0.2500, 0.2500, 0.7500) and Br at (0.2500, 0.2500, 0.2500).

For the total magnetic moment, the calculation gives 2.90 μB/cell. As for the crystal system: cubic. The formation energy (no corrections) is 802.2 meV/atom. The value obtained for the theoretical density is 6.48 g cm⁻³. Its final energy is -5.182 eV per atom.


Entry 2:
Material: ZnCrBr
Method: DFT, PBEsol
State: optimized geometry

It has space group P3m1 (No. 156), with a = 3.0894 Å, b = 3.0894 Å, c = 6.2103 Å, α = 90.00°, β = 90.00° and γ = 120.00°. Symmetry generates all atoms from Zn at (0.0000, 0.0000, 0.0000), Cr at (0.3333, 0.6667, 0.2935) and Br at (0.6667, 0.3333, 0.5522).

For the total magnetic moment, the calculation gives 1.20 μB/cell. As for the crystal system: trigonal. The formation energy (no corrections) is 319.0 meV/atom. The value obtained for the theoretical density is 6.38 g cm⁻³. Its final energy is -4.246 eV per atom.


Entry 3:
Material: ZnCrBr2
Method: DFT, PBEsol
State: optimized geometry

It has space group Fm-3m (No. 225), with a = 6.8830 Å, b = 6.8830 Å, c = 6.8830 Å, α = 90.00°, β = 90.00° and γ = 90.00°. Symmetry generates all atoms from Zn at (0.0000, 0.0000, 0.0000), Cr at (0.0000, 0.0000, 0.5000) and Br at (0.2500, 0.2500, 0.2500).

For the total magnetic moment, the calculation gives 16.77 μB/cell. As for the crystal system: cubic. The formation energy (no corrections) is 207.0 meV/atom. The value obtained for the theoretical density is 5.65 g cm⁻³. Its final energy is -3.684 eV per atom. For the relative energy among the computed polymorphs, the calculation gives 241 meV/atom.


Entry 4:
Material: Zn2CrBr
Method: DFT, PBEsol
State: optimized geometry

It has space group P4mm (No. 99), with a = 3.1592 Å, b = 3.1592 Å, c = 7.3872 Å, α = 90.00°, β = 90.00° and γ = 90.00°. Symmetry generates all atoms from Zn at (0.0000, 0.0000, 0.0000), Zn at (0.5000, 0.5000, 0.1770), Cr at (0.5000, 0.5000, 0.7769) and Br at (0.0000, 0.0000, 0.5622).

For the total magnetic moment, the calculation gives 3.98 μB/cell. As for the crystal system: tetragonal. The formation energy (no corrections) is 293.9 meV/atom. The value obtained for the theoretical density is 5.92 g cm⁻³. Its final energy is -3.525 eV per atom. For the relative energy among the computed polymorphs, the calculation gives 0 meV/atom.


Entry 5:
Material: ZnCrBr2
Method: DFT, PBEsol
State: optimized geometry

It has space group P2/m (No. 10), with a = 3.7810 Å, b = 3.4836 Å, c = 8.3602 Å, α = 90.00°, β = 98.90° and γ = 90.00°. Symmetry generates all atoms from Zn at (0.0000, 0.0000, 0.0000), Cr at (0.5000, 0.0000, 0.5000) and Br at (0.3581, 0.5000, 0.6901).

For the total magnetic moment, the calculation gives 4.00 μB/cell. As for the crystal system: monoclinic. The formation energy (no corrections) is -33.5 meV/atom. The value obtained for the theoretical density is 4.23 g cm⁻³. Its final energy is -3.925 eV per atom. For the relative energy among the computed polymorphs, the calculation gives 0 meV/atom.


Entry 6:
Material: Zn2CrBr
Method: DFT, PBEsol
State: optimized geometry

It has space group F-43m (No. 216), with a = 6.4735 Å, b = 6.4735 Å, c = 6.4735 Å, α = 90.00°, β = 90.00° and γ = 90.00°. Symmetry generates all atoms from Zn at (0.0000, 0.0000, 0.0000), Zn at (0.2500, 0.2500, 0.2500), Cr at (0.2500, 0.2500, 0.7500) and Br at (0.0000, 0.0000, 0.5000).

For the total magnetic moment, the calculation gives 14.16 μB/cell. As for the crystal system: cubic. The formation energy (no corrections) is 564.7 meV/atom. The value obtained for the theoretical density is 6.43 g cm⁻³. Its final energy is -3.254 eV per atom. For the relative energy among the computed polymorphs, the calculation gives 271 meV/atom.


Entry 7:
Material: Zr3CrBr
Method: DFT, PBEsol
State: optimized geometry

It has space group Pm-3m (No. 221), with a = 4.8891 Å, b = 4.8891 Å, c = 4.8891 Å, α = 90.00°, β = 90.00° and γ = 90.00°. Symmetry generates all atoms from Zr at (0.0000, 0.0000, 0.5000), Cr at (0.5000, 0.5000, 0.5000) and Br at (0.0000, 0.0000, 0.0000).

For the total magnetic moment, the calculation gives 2.99 μB/cell. As for the crystal system: cubic. The formation energy (no corrections) is 654.6 meV/atom. The value obtained for the theoretical density is 5.76 g cm⁻³. Its final energy is -7.222 eV per atom.


Entry 8:
Material: CsBr3
Method: DFT, PBEsol
State: optimized geometry

It has space group Pnma (No. 62), with a = 9.8768 Å, b = 6.5438 Å, c = 9.4977 Å, α = 90.00°, β = 90.00° and γ = 90.00°. Symmetry generates all atoms from Cs at (0.1866, 0.2500, 0.0389), Br at (0.0601, 0.7500, 0.2562), Br at (0.1269, 0.2500, 0.5665) and Br at (0.1745, 0.7500, 0.8833).

For the total magnetic moment, the calculation gives 0.00 μB/cell. As for the crystal system: orthorhombic. The formation energy (no corrections) is -961.4 meV/atom. The value obtained for the theoretical density is 4.03 g cm⁻³. Its final energy is -2.600 eV per atom.


Entry 9:
Material: CsBr
Method: DFT, PBEsol
State: optimized geometry

It has space group Pm-3m (No. 221), with a = 4.2420 Å, b = 4.2420 Å, c = 4.2420 Å, α = 90.00°, β = 90.00° and γ = 90.00°. Symmetry generates all atoms from Cs at (0.0000, 0.0000, 0.0000) and Br at (0.5000, 0.5000, 0.5000).

For the total magnetic moment, the calculation gives 0.04 μB/cell. As for the crystal system: cubic. The formation energy (no corrections) is -1765.4 meV/atom. The value obtained for the theoretical density is 4.63 g cm⁻³. Its final energy is -3.172 eV per atom.


Entry 10:
Material: CsBr
Method: DFT, PBEsol
State: optimized geometry

It has space group Fm-3m (No. 225), with a = 7.1886 Å, b = 7.1886 Å, c = 7.1886 Å, α = 90.00°, β = 90.00° and γ = 90.00°. Symmetry generates all atoms from Cs at (0.0000, 0.0000, 0.0000) and Br at (0.0000, 0.0000, 0.5000).

For the total magnetic moment, the calculation gives 0.00 μB/cell. As for the crystal system: cubic. The formation energy (no corrections) is -1770.2 meV/atom. The value obtained for the theoretical density is 3.81 g cm⁻³. Its final energy is -3.176 eV per atom.


Entry 11:
Material: CsCu2Br
Method: DFT, PBEsol
State: optimized geometry

It has space group Fm-3m (No. 225), with a = 7.2145 Å, b = 7.2145 Å, c = 7.2145 Å, α = 90.00°, β = 90.00° and γ = 90.00°. Symmetry generates all atoms from Cs at (0.0000, 0.0000, 0.0000), Cu at (0.2500, 0.2500, 0.2500) and Br at (0.0000, 0.0000, 0.5000).

For the total magnetic moment, the calculation gives 0.00 μB/cell. As for the crystal system: cubic. The formation energy (no corrections) is 660.7 meV/atom. The value obtained for the theoretical density is 6.01 g cm⁻³. Its final energy is -2.209 eV per atom.


Entry 12:
Material: CsCuBr3
Method: DFT, PBEsol
State: optimized geometry

It has space group C222_1 (No. 20), with a = 7.4982 Å, b = 12.5663 Å, c = 12.4741 Å, α = 90.00°, β = 90.00° and γ = 90.00°. Symmetry generates all atoms from Cs at (0.0000, 0.1763, 0.2500), Cs at (0.0186, 0.5000, 0.0000), Cu at (0.0124, 0.1562, 0.8782), Br at (0.0000, 0.3080, 0.7500), Br at (0.0109, 0.0000, 0.0000), Br at (0.2047, 0.2359, 0.5110) and Br at (0.2449, 0.0743, 0.7780).

For the total magnetic moment, the calculation gives 0.00 μB/cell. As for the crystal system: orthorhombic. The formation energy (no corrections) is -917.0 meV/atom. The value obtained for the theoretical density is 4.93 g cm⁻³. Its final energy is -3.094 eV per atom.


Entry 13:
Material: Cs2InCuBr6
Method: DFT, PBEsol
State: optimized geometry

It has space group Fm-3m (No. 225), with a = 10.6556 Å, b = 10.6556 Å, c = 10.6556 Å, α = 90.00°, β = 90.00° and γ = 90.00°. Symmetry generates all atoms from Cs at (0.2500, 0.2500, 0.2500), In at (0.0000, 0.0000, 0.0000), Cu at (0.0000, 0.0000, 0.5000) and Br at (0.0000, 0.0000, 0.2562).

For the total magnetic moment, the calculation gives 0.00 μB/cell. As for the crystal system: cubic. The formation energy (no corrections) is -1109.4 meV/atom. The value obtained for the theoretical density is 5.07 g cm⁻³. Its final energy is -3.152 eV per atom.


Entry 14:
Material: CsLiCuBr2
Method: DFT, PBEsol
State: optimized geometry

It has space group P4/mmm (No. 123), with a = 5.2148 Å, b = 5.2148 Å, c = 5.5384 Å, α = 90.00°, β = 90.00° and γ = 90.00°. Symmetry generates all atoms from Cs at (0.0000, 0.0000, 0.0000), Li at (0.5000, 0.5000, 0.0000), Cu at (0.0000, 0.0000, 0.5000) and Br at (0.0000, 0.5000, 0.5000).

For the total magnetic moment, the calculation gives 0.00 μB/cell. As for the crystal system: tetragonal. The formation energy (no corrections) is -310.9 meV/atom. The value obtained for the theoretical density is 4.00 g cm⁻³. Its final energy is -2.508 eV per atom.


Entry 15:
Material: Cs2NdCuBr6
Method: DFT, PBEsol
State: optimized geometry

It has space group Fm-3m (No. 225), with a = 10.9474 Å, b = 10.9474 Å, c = 10.9474 Å, α = 90.00°, β = 90.00° and γ = 90.00°. Symmetry generates all atoms from Cs at (0.2500, 0.2500, 0.2500), Nd at (0.0000, 0.0000, 0.0000), Cu at (0.0000, 0.0000, 0.5000) and Br at (0.0000, 0.0000, 0.2604).

For the total magnetic moment, the calculation gives 0.00 μB/cell. As for the crystal system: cubic. The formation energy (no corrections) is -1502.4 meV/atom. The value obtained for the theoretical density is 4.82 g cm⁻³. Its final energy is -3.763 eV per atom.


Entry 16:
Material: Cs2PrCuBr6
Method: DFT, PBEsol
State: optimized geometry

It has space group Fm-3m (No. 225), with a = 10.9835 Å, b = 10.9835 Å, c = 10.9835 Å, α = 90.00°, β = 90.00° and γ = 90.00°. Symmetry generates all atoms from Cs at (0.2500, 0.2500, 0.2500), Pr at (0.0000, 0.0000, 0.0000), Cu at (0.0000, 0.0000, 0.5000) and Br at (0.0000, 0.0000, 0.2613).

For the total magnetic moment, the calculation gives 0.00 μB/cell. As for the crystal system: cubic. The formation energy (no corrections) is -1498.7 meV/atom. The value obtained for the theoretical density is 4.76 g cm⁻³. Its final energy is -3.761 eV per atom.


Entry 17:
Material: CsCuTeBr2
Method: DFT, PBEsol
State: optimized geometry

It has space group P4/mmm (No. 123), with a = 5.0049 Å, b = 5.0049 Å, c = 6.3350 Å, α = 90.00°, β = 90.00° and γ = 90.00°. Symmetry generates all atoms from Cs at (0.0000, 0.0000, 0.0000), Cu at (0.0000, 0.0000, 0.5000), Te at (0.5000, 0.5000, 0.0000) and Br at (0.0000, 0.5000, 0.5000).

For the total magnetic moment, the calculation gives 1.71 μB/cell. As for the crystal system: tetragonal. The formation energy (no corrections) is -179.8 meV/atom. The value obtained for the theoretical density is 5.06 g cm⁻³. Its final energy is -2.688 eV per atom.


Entry 18:
Material: Cs2YCuBr6
Method: DFT, PBEsol
State: optimized geometry

It has space group Fm-3m (No. 225), with a = 10.7917 Å, b = 10.7917 Å, c = 10.7917 Å, α = 90.00°, β = 90.00° and γ = 90.00°. Symmetry generates all atoms from Cs at (0.2500, 0.2500, 0.2500), Y at (0.0000, 0.0000, 0.0000), Cu at (0.0000, 0.0000, 0.5000) and Br at (0.0000, 0.0000, 0.2563).

For the total magnetic moment, the calculation gives 0.00 μB/cell. As for the crystal system: cubic. The formation energy (no corrections) is -1521.1 meV/atom. The value obtained for the theoretical density is 4.74 g cm⁻³. Its final energy is -3.947 eV per atom.


Entry 19:
Material: CsEuBr3
Method: DFT, PBEsol
State: optimized geometry

It has space group Pnma (No. 62), with a = 8.2964 Å, b = 11.5883 Å, c = 7.9780 Å, α = 90.00°, β = 90.00° and γ = 90.00°. Symmetry generates all atoms from Cs at (0.0597, 0.2500, 0.0171), Eu at (0.0000, 0.0000, 0.5000), Br at (0.0113, 0.7500, 0.4318) and Br at (0.2027, 0.5354, 0.8006).

For the total magnetic moment, the calculation gives 28.00 μB/cell. As for the crystal system: orthorhombic. The formation energy (no corrections) is -1939.1 meV/atom. The value obtained for the theoretical density is 4.54 g cm⁻³. Its final energy is -5.362 eV per atom.


Entry 20:
Material: CsBrF6
Method: DFT, PBEsol
State: optimized geometry

It has space group R-3 (No. 148, hexagonal axes), with a = 7.8770 Å, b = 7.8770 Å, c = 7.9341 Å, α = 90.00°, β = 90.00° and γ = 120.00°. Symmetry generates all atoms from Cs at (0.0000, 0.0000, 0.0000), Br at (0.0000, 0.0000, 0.5000) and F at (0.0626, 0.8453, 0.6395).

For the total magnetic moment, the calculation gives 0.00 μB/cell. As for the crystal system: trigonal. The formation energy (no corrections) is -1602.8 meV/atom. The value obtained for the theoretical density is 3.82 g cm⁻³. Its final energy is -3.400 eV per atom.